Density functional theory data (PBE) for a geometry-optimized Zr2InCo structure.

Raw total energy ... -6.63 eV per atom

Lattice parameters (Å, degrees): 4.748 4.748 4.748 60.00 60.00 60.00
Positions (direct):
Zr 0.000 0.000 0.000
Zr 0.250 0.250 0.250
In 0.500 0.500 0.500
Co 0.750 0.750 0.750